The following is a SCAN calculation of a crystal of MoRhBr relaxed with PBEsol, from Alexandria.

The calculation puts the mass density at 9.912 g/cm3. Its raw formation energy is 0.7328 eV/atom. The total energy comes out at -85.92 eV per cell. The value obtained for the relative energy among the computed polymorphs is 40 meV per atom.

The space group is P3m1 (No. 156) and the conventional cell measures 4.2769, 4.2769 and 2.9478 Å, with angles of 90.00, 90.00 and 120.00 degrees. The asymmetric unit holds Mo at (0.0000, 0.0000, 0.0000), Rh at (0.3333, 0.6667, 0.5112) and Br at (0.6667, 0.3333, 0.0536).